1.
A plane-wave DFT calculation with PBE was carried out for an optimized crystal structure of Cs2HfB.

The space group is Fm-3m (No. 225) and the conventional cell measures 8.270, 8.270 and 8.270 Å, with angles of 90.00, 90.00 and 90.00 degrees. Symmetry generates all atoms from Cs at (0.250, 0.250, 0.250), Hf at (0.000, 0.000, 0.000) and B at (0.000, 0.000, 0.500).

The magnetic moment is 0.0 Bohr magnetons per cell. The calculation puts the energy of formation from the pure elements at 8.72 eV/f.u. The density comes out at 5.34 g cm⁻³. The value obtained for the total energy is -2.405 eV per atom.

---

2.
A plane-wave DFT calculation with PBE was carried out for an optimized crystal structure of CsHfBIr2.

The space group is P4/mmm (No. 123) and the conventional cell measures 5.018, 5.018 and 4.406 Å, with angles of 90.00, 90.00 and 90.00 degrees. Symmetry generates all atoms from Cs at (0.000, 0.000, 0.000), Hf at (0.500, 0.500, 0.500), B at (0.000, 0.000, 0.500) and Ir at (0.000, 0.500, 0.000).

The magnetic moment is 0.0 Bohr magnetons per cell. The calculation puts the energy of formation from the pure elements at 13.81 eV/f.u. The density comes out at 10.58 g cm⁻³. The value obtained for the total energy is -4.280 eV per atom.

---

3.
A plane-wave DFT calculation with PBE was carried out for an optimized crystal structure of Cs2NaHfB.

The space group is P4/mmm (No. 123) and the conventional cell measures 6.483, 6.483 and 5.986 Å, with angles of 90.00, 90.00 and 90.00 degrees. Symmetry generates all atoms from Cs at (0.000, 0.500, 0.000), Na at (0.000, 0.000, 0.000), Hf at (0.000, 0.000, 0.500) and B at (0.500, 0.500, 0.500).

The magnetic moment is 5.3 Bohr magnetons per cell. The calculation puts the energy of formation from the pure elements at 10.42 eV/f.u. The density comes out at 3.16 g cm⁻³. The value obtained for the total energy is -1.847 eV per atom.